Entry 1:
First-principles (PBE) data for crystalline InMo2Br at its relaxed geometry, as listed in Alexandria.

Summary:
space-group type = Pm
density of states at the Fermi level = 1.17 states/eV/atom
E_form (uncorrected) = 2.6 eV per formula unit

Cell: 2.9837 4.6017 5.7877 Å, 90.00 103.63 90.00°
Last column: nearest neighbours and their distance in Å.
Fractional coordinates of all 4 atoms:
1 In 0.0000 0.0000 0.0000  1 Mo 2.78, 2 In 2.98
2 Mo 0.3168 0.0000 0.4926  2 Br 2.53, 1 In 2.78
3 Mo 0.6677 0.5000 0.3013  2 Br 2.58-2.60, 2 Mo 2.86
4 Br 0.3319 0.5000 0.6774  4 Mo 2.53-2.60

---

Entry 2:
First-principles (PBE) data for crystalline Na2MgHg2 at its relaxed geometry, as listed in Alexandria.

Summary:
energy of formation = -0.166 eV per atom
space-group type = Immm
density of states at the Fermi level = 0.38 states/eV/atom

Cell: 4.2854 6.7891 9.4091 Å, 90.00 90.00 90.00°
Last column: nearest neighbours and their distance in Å.
Fractional coordinates of all 10 atoms:
1 Na 0.0000 0.0000 0.2053  6 Hg 3.25-3.36, 2 Mg 3.50
2 Na 0.0000 0.0000 0.7947  6 Hg 3.25-3.36, 2 Mg 3.50
3 Na 0.5000 0.5000 0.2947  6 Hg 3.25-3.36, 2 Mg 3.50
4 Na 0.5000 0.5000 0.7053  6 Hg 3.25-3.36, 2 Mg 3.50
5 Mg 0.0000 0.5000 0.0000  4 Hg 2.86
6 Mg 0.5000 0.0000 0.5000  4 Hg 2.86
7 Hg 0.0000 0.2795 0.5000  2 Mg 2.86, 1 Hg 2.99
8 Hg 0.0000 0.7205 0.5000  2 Mg 2.86, 1 Hg 2.99
9 Hg 0.5000 0.2205 0.0000  2 Mg 2.86, 1 Hg 2.99
10 Hg 0.5000 0.7795 0.0000  2 Mg 2.86, 1 Hg 2.99

---

Number 2 is which compound?
Na2MgHg2